(1)
Compound: CsCu2AgCl4
Source: Alexandria via LeMat-Bulk
Functional: GGA-PBE
Structure: relaxed

Geometry as CIF:
```
data_CsCu2AgCl4
_cell_length_a 6.683
_cell_length_b 8.380
_cell_length_c 8.893
_cell_angle_alpha 90.00
_cell_angle_beta 90.00
_cell_angle_gamma 90.00
_symmetry_space_group_name_H-M 'P 1'
_symmetry_Int_Tables_number 1
_symmetry_space_group_name_Hall 'P 1'
loop_
_atom_site_label
_atom_site_type_symbol
_atom_site_fract_x
_atom_site_fract_y
_atom_site_fract_z
Cs1 Cs 0.000 0.000 0.000
Cs2 Cs 0.500 0.500 0.500
Cu1 Cu 0.000 0.500 0.151
Cu2 Cu 0.000 0.500 0.849
Cu3 Cu 0.500 0.000 0.349
Cu4 Cu 0.500 0.000 0.651
Ag1 Ag 0.000 0.000 0.500
Ag2 Ag 0.500 0.500 0.000
Cl1 Cl 0.247 0.340 0.828
Cl2 Cl 0.247 0.660 0.172
Cl3 Cl 0.253 0.160 0.328
Cl4 Cl 0.253 0.840 0.672
Cl5 Cl 0.747 0.160 0.672
Cl6 Cl 0.747 0.840 0.328
Cl7 Cl 0.753 0.340 0.172
Cl8 Cl 0.753 0.660 0.828
```

Values from the calculation:
E, eV/atom: -3.264
Spin magnetization, μB/f.u.: 0.00
Calculated volume, Å³ per cell: 498.0
Density, g/cm³: 3.40

(2)
Compound: Cs2CuAg2Cl6
Source: Alexandria via LeMat-Bulk
Functional: GGA-PBE
Structure: relaxed

Geometry as CIF:
```
data_Cs2CuAg2Cl6
_cell_length_a 8.612
_cell_length_b 8.612
_cell_length_c 6.381
_cell_angle_alpha 102.47
_cell_angle_beta 102.47
_cell_angle_gamma 49.36
_symmetry_space_group_name_H-M 'P 1'
_symmetry_Int_Tables_number 1
_symmetry_space_group_name_Hall 'P 1'
loop_
_atom_site_label
_atom_site_type_symbol
_atom_site_fract_x
_atom_site_fract_y
_atom_site_fract_z
Cs1 Cs 0.216 0.216 0.203
Cs2 Cs 0.784 0.784 0.797
Cu1 Cu 0.000 0.000 0.500
Ag1 Ag 0.471 0.471 0.748
Ag2 Ag 0.529 0.529 0.252
Cl1 Cl 0.150 0.705 0.268
Cl2 Cl 0.295 0.850 0.732
Cl3 Cl 0.315 0.315 0.754
Cl4 Cl 0.685 0.685 0.246
Cl5 Cl 0.705 0.150 0.268
Cl6 Cl 0.850 0.295 0.732
```

Values from the calculation:
E, eV/atom: -3.081
Spin magnetization, μB/f.u.: 1.03
Calculated volume, Å³ per cell: 348.8
Density, g/cm³: 3.61

(3)
Compound: Cs3Cu2AgCl9
Source: Alexandria via LeMat-Bulk
Functional: GGA-PBE
Structure: relaxed

Geometry as CIF:
```
data_Cs3Cu2AgCl9
_cell_length_a 7.149
_cell_length_b 7.149
_cell_length_c 8.776
_cell_angle_alpha 90.00
_cell_angle_beta 90.00
_cell_angle_gamma 120.00
_symmetry_space_group_name_H-M 'P 1'
_symmetry_Int_Tables_number 1
_symmetry_space_group_name_Hall 'P 1'
loop_
_atom_site_label
_atom_site_type_symbol
_atom_site_fract_x
_atom_site_fract_y
_atom_site_fract_z
Cs1 Cs 0.000 0.000 0.000
Cs2 Cs 0.333 0.667 0.666
Cs3 Cs 0.667 0.333 0.334
Cu1 Cu 0.333 0.667 0.162
Cu2 Cu 0.667 0.333 0.838
Ag1 Ag 0.000 0.000 0.500
Cl1 Cl 0.000 0.500 0.000
Cl2 Cl 0.173 0.347 0.323
Cl3 Cl 0.173 0.827 0.323
Cl4 Cl 0.347 0.173 0.677
Cl5 Cl 0.500 0.000 0.000
Cl6 Cl 0.500 0.500 0.000
Cl7 Cl 0.653 0.827 0.323
Cl8 Cl 0.827 0.173 0.677
Cl9 Cl 0.827 0.653 0.677
```

Values from the calculation:
E, eV/atom: -3.101
Spin magnetization, μB/f.u.: 0.00
Calculated volume, Å³ per cell: 388.4
Density, g/cm³: 4.07

(4)
Compound: CsCuAgCl4
Source: Alexandria via LeMat-Bulk
Functional: GGA-PBE
Structure: relaxed

Geometry as CIF:
```
data_CsCuAgCl4
_cell_length_a 6.178
_cell_length_b 7.382
_cell_length_c 9.498
_cell_angle_alpha 90.00
_cell_angle_beta 108.64
_cell_angle_gamma 90.00
_symmetry_space_group_name_H-M 'P 1'
_symmetry_Int_Tables_number 1
_symmetry_space_group_name_Hall 'P 1'
loop_
_atom_site_label
_atom_site_type_symbol
_atom_site_fract_x
_atom_site_fract_y
_atom_site_fract_z
Cs1 Cs 0.226 0.250 0.397
Cs2 Cs 0.774 0.750 0.603
Cu1 Cu 0.138 0.250 0.808
Cu2 Cu 0.862 0.750 0.192
Ag1 Ag 0.393 0.750 0.007
Ag2 Ag 0.607 0.250 0.993
Cl1 Cl 0.028 0.250 0.011
Cl2 Cl 0.169 0.750 0.400
Cl3 Cl 0.364 0.003 0.793
Cl4 Cl 0.364 0.497 0.793
Cl5 Cl 0.636 0.503 0.207
Cl6 Cl 0.636 0.997 0.207
Cl7 Cl 0.831 0.250 0.600
Cl8 Cl 0.972 0.750 0.989
```

Values from the calculation:
E, eV/atom: -3.071
Spin magnetization, μB/f.u.: 1.05
Calculated volume, Å³ per cell: 410.4
Density, g/cm³: 3.61

(5)
Compound: CsCu2AgCl5
Source: Alexandria via LeMat-Bulk
Functional: GGA-PBE
Structure: relaxed

Geometry as CIF:
```
data_CsCu2AgCl5
_cell_length_a 4.746
_cell_length_b 4.746
_cell_length_c 9.444
_cell_angle_alpha 90.00
_cell_angle_beta 90.00
_cell_angle_gamma 90.00
_symmetry_space_group_name_H-M 'P 1'
_symmetry_Int_Tables_number 1
_symmetry_space_group_name_Hall 'P 1'
loop_
_atom_site_label
_atom_site_type_symbol
_atom_site_fract_x
_atom_site_fract_y
_atom_site_fract_z
Cs1 Cs 0.000 0.000 0.000
Cu1 Cu 0.500 0.500 0.267
Cu2 Cu 0.500 0.500 0.733
Ag1 Ag 0.000 0.000 0.500
Cl1 Cl 0.000 0.500 0.310
Cl2 Cl 0.000 0.500 0.690
Cl3 Cl 0.500 0.000 0.310
Cl4 Cl 0.500 0.000 0.690
Cl5 Cl 0.500 0.500 0.000
```

Values from the calculation:
E, eV/atom: -3.132
Spin magnetization, μB/f.u.: 0.00
Calculated volume, Å³ per cell: 212.7
Density, g/cm³: 4.26

(6)
Compound: CsCu2AgCl8
Source: Alexandria via LeMat-Bulk
Functional: GGA-PBE
Structure: relaxed

Geometry as CIF:
```
data_CsCu2AgCl8
_cell_length_a 6.618
_cell_length_b 6.618
_cell_length_c 9.489
_cell_angle_alpha 90.00
_cell_angle_beta 90.00
_cell_angle_gamma 120.00
_symmetry_space_group_name_H-M 'P 1'
_symmetry_Int_Tables_number 1
_symmetry_space_group_name_Hall 'P 1'
loop_
_atom_site_label
_atom_site_type_symbol
_atom_site_fract_x
_atom_site_fract_y
_atom_site_fract_z
Cs1 Cs 0.000 0.000 0.000
Cu1 Cu 0.333 0.667 0.724
Cu2 Cu 0.667 0.333 0.276
Ag1 Ag 0.000 0.000 0.500
Cl1 Cl 0.034 0.320 0.660
Cl2 Cl 0.286 0.966 0.660
Cl3 Cl 0.320 0.286 0.340
Cl4 Cl 0.333 0.667 0.955
Cl5 Cl 0.667 0.333 0.045
Cl6 Cl 0.680 0.714 0.660
Cl7 Cl 0.714 0.034 0.340
Cl8 Cl 0.966 0.680 0.340
```

Values from the calculation:
E, eV/atom: -2.852
Spin magnetization, μB/f.u.: 0.00
Calculated volume, Å³ per cell: 359.9
Density, g/cm³: 3.01

(7)
Compound: Cs4Cu3AgCl12
Source: Alexandria via LeMat-Bulk
Functional: GGA-PBE
Structure: relaxed

Geometry as CIF:
```
data_Cs4Cu3AgCl12
_cell_length_a 8.748
_cell_length_b 8.748
_cell_length_c 8.748
_cell_angle_alpha 109.47
_cell_angle_beta 109.47
_cell_angle_gamma 109.47
_symmetry_space_group_name_H-M 'P 1'
_symmetry_Int_Tables_number 1
_symmetry_space_group_name_Hall 'P 1'
loop_
_atom_site_label
_atom_site_type_symbol
_atom_site_fract_x
_atom_site_fract_y
_atom_site_fract_z
Cs1 Cs 0.000 0.000 0.500
Cs2 Cs 0.000 0.500 0.000
Cs3 Cs 0.500 0.000 0.000
Cs4 Cs 0.500 0.500 0.500
Cu1 Cu 0.000 0.500 0.500
Cu2 Cu 0.500 0.000 0.500
Cu3 Cu 0.500 0.500 0.000
Ag1 Ag 0.000 0.000 0.000
Cl1 Cl 0.000 0.267 0.267
Cl2 Cl 0.000 0.733 0.733
Cl3 Cl 0.250 0.500 0.750
Cl4 Cl 0.250 0.750 0.500
Cl5 Cl 0.267 0.000 0.267
Cl6 Cl 0.267 0.267 0.000
Cl7 Cl 0.500 0.250 0.750
Cl8 Cl 0.500 0.750 0.250
Cl9 Cl 0.733 0.000 0.733
Cl10 Cl 0.733 0.733 0.000
Cl11 Cl 0.750 0.250 0.500
Cl12 Cl 0.750 0.500 0.250
```

Values from the calculation:
E, eV/atom: -3.126
Spin magnetization, μB/f.u.: 0.00
Calculated volume, Å³ per cell: 515.4
Density, g/cm³: 4.05

(8)
Compound: CsCuAgCl5
Source: Alexandria via LeMat-Bulk
Functional: GGA-PBE
Structure: relaxed

Geometry as CIF:
```
data_CsCuAgCl5
_cell_length_a 7.789
_cell_length_b 7.789
_cell_length_c 9.270
_cell_angle_alpha 100.35
_cell_angle_beta 100.35
_cell_angle_gamma 108.68
_symmetry_space_group_name_H-M 'P 1'
_symmetry_Int_Tables_number 1
_symmetry_space_group_name_Hall 'P 1'
loop_
_atom_site_label
_atom_site_type_symbol
_atom_site_fract_x
_atom_site_fract_y
_atom_site_fract_z
Cs1 Cs 0.149 0.851 0.750
Cs2 Cs 0.851 0.149 0.250
Cu1 Cu 0.205 0.795 0.250
Cu2 Cu 0.795 0.205 0.750
Ag1 Ag 0.500 0.500 0.000
Ag2 Ag 0.500 0.500 0.500
Cl1 Cl 0.043 0.235 0.924
Cl2 Cl 0.235 0.043 0.424
Cl3 Cl 0.236 0.596 0.404
Cl4 Cl 0.404 0.764 0.096
Cl5 Cl 0.434 0.566 0.750
Cl6 Cl 0.566 0.434 0.250
Cl7 Cl 0.596 0.236 0.904
Cl8 Cl 0.764 0.404 0.596
Cl9 Cl 0.765 0.957 0.576
Cl10 Cl 0.957 0.765 0.076
```

Values from the calculation:
E, eV/atom: -2.948
Spin magnetization, μB/f.u.: 1.04
Calculated volume, Å³ per cell: 506.9
Density, g/cm³: 3.16

(9)
Compound: Cs2DyAg2Cl6
Source: Alexandria via LeMat-Bulk
Functional: GGA-PBE
Structure: relaxed

Geometry as CIF:
```
data_Cs2DyAg2Cl6
_cell_length_a 7.745
_cell_length_b 7.745
_cell_length_c 8.884
_cell_angle_alpha 117.79
_cell_angle_beta 117.79
_cell_angle_gamma 59.83
_symmetry_space_group_name_H-M 'P 1'
_symmetry_Int_Tables_number 1
_symmetry_space_group_name_Hall 'P 1'
loop_
_atom_site_label
_atom_site_type_symbol
_atom_site_fract_x
_atom_site_fract_y
_atom_site_fract_z
Cs1 Cs 0.210 0.210 0.181
Cs2 Cs 0.790 0.790 0.819
Dy1 Dy 0.000 0.000 0.500
Ag1 Ag 0.452 0.452 0.821
Ag2 Ag 0.548 0.548 0.179
Cl1 Cl 0.178 0.709 0.247
Cl2 Cl 0.221 0.221 0.582
Cl3 Cl 0.291 0.822 0.753
Cl4 Cl 0.709 0.178 0.247
Cl5 Cl 0.779 0.779 0.418
Cl6 Cl 0.822 0.291 0.753
```

Values from the calculation:
E, eV/atom: -3.613
Spin magnetization, μB/f.u.: 1.03
Calculated volume, Å³ per cell: 388.4
Density, g/cm³: 3.66

(10)
Compound: Cs2DyAgCl6
Source: Alexandria via LeMat-Bulk
Functional: GGA-PBE
Structure: relaxed

Geometry as CIF:
```
data_Cs2DyAgCl6
_cell_length_a 7.671
_cell_length_b 7.671
_cell_length_c 7.671
_cell_angle_alpha 60.00
_cell_angle_beta 60.00
_cell_angle_gamma 60.00
_symmetry_space_group_name_H-M 'P 1'
_symmetry_Int_Tables_number 1
_symmetry_space_group_name_Hall 'P 1'
loop_
_atom_site_label
_atom_site_type_symbol
_atom_site_fract_x
_atom_site_fract_y
_atom_site_fract_z
Cs1 Cs 0.250 0.250 0.250
Cs2 Cs 0.750 0.750 0.750
Dy1 Dy 0.000 0.000 0.000
Ag1 Ag 0.500 0.500 0.500
Cl1 Cl 0.244 0.244 0.756
Cl2 Cl 0.244 0.756 0.244
Cl3 Cl 0.244 0.756 0.756
Cl4 Cl 0.756 0.244 0.244
Cl5 Cl 0.756 0.244 0.756
Cl6 Cl 0.756 0.756 0.244
```

Values from the calculation:
E, eV/atom: -3.881
Spin magnetization, μB/f.u.: 0.00
Calculated volume, Å³ per cell: 319.2
Density, g/cm³: 3.90

(11)
Compound: CsDyAg2Cl6
Source: Alexandria via LeMat-Bulk
Functional: GGA-PBE
Structure: relaxed

Geometry as CIF:
```
data_CsDyAg2Cl6
_cell_length_a 7.850
_cell_length_b 7.850
_cell_length_c 7.850
_cell_angle_alpha 57.39
_cell_angle_beta 57.39
_cell_angle_gamma 57.39
_symmetry_space_group_name_H-M 'P 1'
_symmetry_Int_Tables_number 1
_symmetry_space_group_name_Hall 'P 1'
loop_
_atom_site_label
_atom_site_type_symbol
_atom_site_fract_x
_atom_site_fract_y
_atom_site_fract_z
Cs1 Cs 0.000 0.000 0.000
Dy1 Dy 0.500 0.500 0.500
Ag1 Ag 0.294 0.294 0.294
Ag2 Ag 0.751 0.751 0.751
Cl1 Cl 0.114 0.468 0.646
Cl2 Cl 0.293 0.887 0.522
Cl3 Cl 0.468 0.646 0.114
Cl4 Cl 0.522 0.293 0.887
Cl5 Cl 0.646 0.114 0.468
Cl6 Cl 0.887 0.522 0.293
```

Values from the calculation:
E, eV/atom: -3.711
Spin magnetization, μB/f.u.: 0.00
Calculated volume, Å³ per cell: 321.5
Density, g/cm³: 3.74

(12)
Compound: Cs3DyAg2Cl9
Source: Alexandria via LeMat-Bulk
Functional: GGA-PBE
Structure: relaxed

Geometry as CIF:
```
data_Cs3DyAg2Cl9
_cell_length_a 7.551
_cell_length_b 7.551
_cell_length_c 9.343
_cell_angle_alpha 90.00
_cell_angle_beta 90.00
_cell_angle_gamma 120.00
_symmetry_space_group_name_H-M 'P 1'
_symmetry_Int_Tables_number 1
_symmetry_space_group_name_Hall 'P 1'
loop_
_atom_site_label
_atom_site_type_symbol
_atom_site_fract_x
_atom_site_fract_y
_atom_site_fract_z
Cs1 Cs 0.000 0.000 0.000
Cs2 Cs 0.333 0.667 0.680
Cs3 Cs 0.667 0.333 0.320
Dy1 Dy 0.000 0.000 0.500
Ag1 Ag 0.333 0.667 0.153
Ag2 Ag 0.667 0.333 0.847
Cl1 Cl 0.000 0.500 0.000
Cl2 Cl 0.165 0.330 0.337
Cl3 Cl 0.165 0.835 0.337
Cl4 Cl 0.330 0.165 0.663
Cl5 Cl 0.500 0.000 0.000
Cl6 Cl 0.500 0.500 0.000
Cl7 Cl 0.670 0.835 0.337
Cl8 Cl 0.835 0.165 0.663
Cl9 Cl 0.835 0.670 0.663
```

Values from the calculation:
E, eV/atom: -3.550
Spin magnetization, μB/f.u.: 0.46
Calculated volume, Å³ per cell: 461.4
Density, g/cm³: 3.94

Values for ΔE_f (raw), eV/atom, ordered as above
-0.85, -1.03, -1.09, -0.90, -0.78, -0.63, -1.09, -0.82, -1.51, -1.86, -1.49, -1.58